VASP calculation (PBEsol) on Tl3SbS4 after structural relaxation.

a b c (Å): 6.175 6.230 11.528
angles (deg): 95.05 99.07 103.55
Sites, in units of the cell vectors:
Tl: 0.051 0.058 0.288
Tl: 0.227 0.777 0.005
Tl: 0.292 0.760 0.489
Tl: 0.708 0.240 0.511
Tl: 0.773 0.223 0.995
Tl: 0.949 0.942 0.712
Sb: 0.440 0.476 0.756
Sb: 0.560 0.524 0.244
S: 0.181 0.549 0.227
S: 0.237 0.303 0.565
S: 0.277 0.294 0.905
S: 0.436 0.854 0.774
S: 0.564 0.146 0.226
S: 0.723 0.706 0.095
S: 0.763 0.697 0.435
S: 0.819 0.451 0.773

## Properties
Symmetry: P-1
E_form (uncorrected) in eV per atom: -0.262


VASP calculation (PBEsol) on MgFeReB2 after structural relaxation.

a b c (Å): 3.746 3.746 4.275
angles (deg): 90.00 90.00 90.00
Sites, in units of the cell vectors:
Mg: 0.000 0.000 0.000
Fe: 0.000 0.000 0.500
Re: 0.500 0.500 0.000
B: 0.000 0.500 0.500
B: 0.500 0.000 0.500

## Properties
Symmetry: P4/mmm
Formation energy in meV/atom: 1397
DOS at the Fermi energy in states/eV per cell: 3.634


VASP calculation (PBEsol) on BaCdHg2 after structural relaxation.

a b c (Å): 5.376 5.376 5.376
angles (deg): 60.00 60.00 60.00
Sites, in units of the cell vectors:
Ba: 0.000 0.000 0.000
Cd: 0.250 0.250 0.250
Hg: 0.500 0.500 0.500
Hg: 0.750 0.750 0.750

## Properties
Symmetry: F-43m
Formation energy in meV/atom: -327
DOS at the Fermi energy in states/eV per cell: 2.385


VASP calculation (PBEsol) on La2PW after structural relaxation.

a b c (Å): 8.266 8.266 8.266
angles (deg): 27.12 27.12 27.12
Sites, in units of the cell vectors:
La: 0.244 0.244 0.244
La: 0.756 0.756 0.756
P: 0.500 0.500 0.500
W: 0.000 0.000 0.000

## Properties
Symmetry: R-3m
Distance to the lowest polymorph of the same formula in kJ per mole of atoms: 0.0
Formation energy in meV/atom: 210
DOS at the Fermi energy in states/eV per cell: 4.306